[1]
Nd2Ho3Hg3 after structural relaxation. Source: Alexandria, functional GGA-PBE.

Lattice parameters (Å, degrees): 3.7685 5.2902 22.4321 90.00 90.00 90.00
With the nearest neighbours (Å) after each atom.
Fractional coordinates of all 16 atoms:
Nd 0.0000 0.0000 0.2303  2 Hg 3.23, 4 Nd 3.37
Nd 0.0000 0.0000 0.7697  2 Hg 3.23, 4 Nd 3.37
Nd 0.5000 0.5000 0.2697  2 Hg 3.23, 4 Nd 3.37
Nd 0.5000 0.5000 0.7303  2 Hg 3.23, 4 Nd 3.37
Ho 0.0000 0.0000 0.0000  8 Hg 3.16-3.25
Ho 0.0000 0.5000 0.1179  6 Hg 3.25
Ho 0.0000 0.5000 0.8821  6 Hg 3.25
Ho 0.5000 0.0000 0.3821  6 Hg 3.25
Ho 0.5000 0.0000 0.6179  6 Hg 3.25
Ho 0.5000 0.5000 0.5000  8 Hg 3.16-3.25
Hg 0.0000 0.0000 0.5000  8 Ho 3.25
Hg 0.0000 0.5000 0.3868  6 Ho 3.16-3.25, 2 Nd 3.23
Hg 0.0000 0.5000 0.6132  6 Ho 3.16-3.25, 2 Nd 3.23
Hg 0.5000 0.0000 0.1132  6 Ho 3.16-3.25, 2 Nd 3.23
Hg 0.5000 0.0000 0.8868  6 Ho 3.16-3.25, 2 Nd 3.23
Hg 0.5000 0.5000 0.0000  8 Ho 3.25

Calculated values
E_form (eV per atom): -0.344
Crystal system: orthorhombic
DOS at the Fermi energy (states/eV/f.u.): 7.2
Uncorrected energy (eV/atom): -3.366
Spin magnetization (μB/f.u.): 0.00
Symmetry: Immm (71)
Volume (A^3/atom): 28.0

---

[2]
NdHo3Hg4 after structural relaxation. Source: Alexandria, functional GGA-PBE.

Lattice parameters (Å, degrees): 5.2519 5.2519 7.5887 90.00 90.00 90.00
With the nearest neighbours (Å) after each atom.
Fractional coordinates of all 8 atoms:
Nd 0.0000 0.0000 0.0000  8 Hg 3.29
Ho 0.0000 0.0000 0.5000  8 Hg 3.19
Ho 0.5000 0.5000 0.0000  8 Hg 3.29
Ho 0.5000 0.5000 0.5000  8 Hg 3.19
Hg 0.0000 0.5000 0.2613  6 Ho 3.19-3.29, 2 Nd 3.29
Hg 0.0000 0.5000 0.7387  6 Ho 3.19-3.29, 2 Nd 3.29
Hg 0.5000 0.0000 0.2613  6 Ho 3.19-3.29, 2 Nd 3.29
Hg 0.5000 0.0000 0.7387  6 Ho 3.19-3.29, 2 Nd 3.29

Calculated values
E_form (eV per atom): -0.473
Crystal system: tetragonal
DOS at the Fermi energy (states/eV/f.u.): 7.6
Uncorrected energy (eV/atom): -2.936
Spin magnetization (μB/f.u.): 0.71
Energy above the lowest structure with this stoichiometry (eV per atom): 0.000
Symmetry: P4/mmm (123)
Volume (A^3/atom): 26.2

---

[3]
NdHoHg4 after structural relaxation. Source: Alexandria, functional GGA-PBE.

Lattice parameters (Å, degrees): 4.5360 4.5499 8.6581 90.00 90.00 90.00
With the nearest neighbours (Å) after each atom.
Fractional coordinates of all 6 atoms:
Nd 0.0000 0.0000 0.0000  8 Hg 3.20
Ho 0.5000 0.5000 0.5000  8 Hg 3.08
Hg 0.0000 0.5000 0.2600  2 Ho 3.08, 2 Nd 3.20, 4 Hg 3.21
Hg 0.0000 0.5000 0.7400  2 Ho 3.08, 2 Nd 3.20, 4 Hg 3.21
Hg 0.5000 0.0000 0.2609  2 Ho 3.08, 2 Nd 3.20, 4 Hg 3.21
Hg 0.5000 0.0000 0.7391  2 Ho 3.08, 2 Nd 3.20, 4 Hg 3.21

Calculated values
E_form (eV per atom): -0.178
Crystal system: orthorhombic
DOS at the Fermi energy (states/eV/f.u.): 3.5
Uncorrected energy (eV/atom): -1.937
Spin magnetization (μB/f.u.): 0.00
Energy above the lowest structure with this stoichiometry (eV per atom): 0.170
Symmetry: Pmmm (47)
Volume (A^3/atom): 29.8

---

[4]
NdHo3Hg6 after structural relaxation. Source: Alexandria, functional GGA-PBE.

Lattice parameters (Å, degrees): 9.1930 5.1829 11.1978 90.00 107.00 90.00
With the nearest neighbours (Å) after each atom.
Fractional coordinates of all 20 atoms:
Nd 0.0666 0.2500 0.3850  10 Hg 3.15-3.46
Nd 0.9334 0.7500 0.6150  10 Hg 3.15-3.46
Ho 0.2305 0.2500 0.0039  8 Hg 3.04-3.38
Ho 0.3525 0.7500 0.8051  8 Hg 3.04-3.19
Ho 0.4876 0.2500 0.6128  7 Hg 3.00-3.33
Ho 0.5124 0.7500 0.3872  7 Hg 3.00-3.33
Ho 0.6475 0.2500 0.1949  8 Hg 3.04-3.19
Ho 0.7695 0.7500 0.9961  8 Hg 3.04-3.38
Hg 0.0635 0.7500 0.9085  4 Ho 3.04-3.19, 1 Nd 3.15, 3 Hg 3.20-3.24
Hg 0.1411 0.7500 0.2064  8 Hg 3.20-3.55, 2 Ho 3.42-3.54, 2 Nd 3.46
Hg 0.1741 0.2500 0.6917  4 Ho 3.13-3.38, 3 Nd 3.28-3.35, 4 Hg 3.41-3.49
Hg 0.2548 0.7500 0.5208  4 Ho 3.04-3.33, 2 Nd 3.24, 1 Hg 3.37
Hg 0.3589 0.2500 0.2909  4 Ho 3.00-3.14, 1 Nd 3.16, 2 Hg 3.24
Hg 0.4639 0.7500 0.0934  7 Ho 3.09-3.33
Hg 0.5361 0.2500 0.9066  7 Ho 3.09-3.33
Hg 0.6411 0.7500 0.7091  4 Ho 3.00-3.14, 1 Nd 3.16, 2 Hg 3.24
Hg 0.7452 0.2500 0.4792  4 Ho 3.04-3.33, 2 Nd 3.24, 1 Hg 3.37
Hg 0.8259 0.7500 0.3083  4 Ho 3.13-3.38, 3 Nd 3.28-3.35, 4 Hg 3.41-3.49
Hg 0.8589 0.2500 0.7936  8 Hg 3.20-3.55, 2 Ho 3.42-3.54, 2 Nd 3.46
Hg 0.9365 0.2500 0.0915  4 Ho 3.04-3.19, 1 Nd 3.15, 3 Hg 3.20-3.24

Calculated values
E_form (eV per atom): -0.430
Crystal system: monoclinic
DOS at the Fermi energy (states/eV/f.u.): 6.8
Uncorrected energy (eV/atom): -2.461
Spin magnetization (μB/f.u.): 0.00
Symmetry: P2_1/m (11)
Volume (A^3/atom): 25.5

---

[5]
Nd2Ho8Hg after structural relaxation. Source: Alexandria, functional GGA-PBE.

Lattice parameters (Å, degrees): 9.7527 9.7527 7.4538 112.39 112.39 32.60
With the nearest neighbours (Å) after each atom.
Fractional coordinates of all 11 atoms:
Nd 0.1922 0.1922 0.1921  12 Ho 3.41-3.79
Nd 0.8078 0.8078 0.8079  12 Ho 3.41-3.79
Ho 0.0002 0.0002 0.2467  2 Hg 3.33, 7 Ho 3.58-3.67
Ho 0.9998 0.9998 0.7533  2 Hg 3.33, 7 Ho 3.58-3.67
Ho 0.1833 0.1833 0.6839  8 Ho 3.47-3.67, 4 Nd 3.47-3.74
Ho 0.3663 0.3663 0.1021  1 Hg 3.03
Ho 0.3656 0.3656 0.6285  1 Hg 3.03
Ho 0.6344 0.6344 0.3715  1 Hg 3.03
Ho 0.6337 0.6337 0.8979  1 Hg 3.03
Ho 0.8167 0.8167 0.3161  8 Ho 3.47-3.67, 4 Nd 3.47-3.74
Hg 0.5000 0.5000 0.5000  8 Ho 3.03-3.33

Calculated values
E_form (eV per atom): 0.014
Crystal system: monoclinic
DOS at the Fermi energy (states/eV/f.u.): 16.7
Uncorrected energy (eV/atom): -4.210
Spin magnetization (μB/f.u.): 0.00
Symmetry: C2/m (12)
Volume (A^3/atom): 31.9

---

[6]
Nd2HoHg8 after structural relaxation. Source: Alexandria, functional GGA-PBE.

Lattice parameters (Å, degrees): 8.4217 8.4217 7.2730 109.00 109.00 35.09
With the nearest neighbours (Å) after each atom.
Fractional coordinates of all 11 atoms:
Nd 0.2101 0.2101 0.1568  10 Hg 3.21-3.47
Nd 0.7899 0.7899 0.8432  10 Hg 3.21-3.47
Ho 0.5000 0.5000 0.5000  8 Hg 3.02-3.29
Hg 0.0188 0.0188 0.2294  7 Hg 3.09-3.39, 2 Ho 3.29, 1 Nd 3.29
Hg 0.1516 0.1516 0.6632  5 Hg 3.09-3.27, 3 Nd 3.33-3.39, 2 Ho 3.44
Hg 0.3345 0.3345 0.6085  1 Ho 3.02, 4 Hg 3.05-3.27, 3 Nd 3.21-3.27
Hg 0.4059 0.4059 0.0541  4 Hg 3.05-3.37, 1 Ho 3.07, 2 Nd 3.21
Hg 0.5941 0.5941 0.9459  4 Hg 3.05-3.37, 1 Ho 3.07, 2 Nd 3.21
Hg 0.6655 0.6655 0.3915  1 Ho 3.02, 4 Hg 3.05-3.27, 3 Nd 3.21-3.27
Hg 0.8484 0.8484 0.3368  5 Hg 3.09-3.27, 3 Nd 3.33-3.39, 2 Ho 3.44
Hg 0.9812 0.9812 0.7706  7 Hg 3.09-3.39, 2 Ho 3.29, 1 Nd 3.29

Calculated values
E_form (eV per atom): -0.341
Crystal system: monoclinic
DOS at the Fermi energy (states/eV/f.u.): 5.3
Uncorrected energy (eV/atom): -1.843
Spin magnetization (μB/f.u.): 0.00
Symmetry: C2/m (12)
Volume (A^3/atom): 25.3

---

[7]
Nd9Ho4Hg11 after structural relaxation. Source: Alexandria, functional GGA-PBE.

Lattice parameters (Å, degrees): 14.1503 14.1503 3.5810 90.00 90.00 111.73
With the nearest neighbours (Å) after each atom.
Fractional coordinates of all 24 atoms:
Nd 0.0000 0.0000 0.0000  4 Ho 3.29, 2 Nd 3.58, 4 Hg 3.68
Nd 0.1319 0.6431 0.0000  8 Hg 3.26-3.57, 1 Ho 3.53, 3 Nd 3.57-3.58
Nd 0.2926 0.4555 0.0000  8 Hg 3.29-3.52, 1 Ho 3.56, 2 Nd 3.58
Nd 0.3569 0.8681 0.0000  8 Hg 3.26-3.57, 1 Ho 3.53, 3 Nd 3.57-3.58
Nd 0.4555 0.2926 0.0000  8 Hg 3.29-3.52, 1 Ho 3.56, 2 Nd 3.58
Nd 0.5445 0.7074 0.0000  8 Hg 3.29-3.52, 1 Ho 3.56, 2 Nd 3.58
Nd 0.6431 0.1319 0.0000  8 Hg 3.26-3.57, 1 Ho 3.53, 3 Nd 3.57-3.58
Nd 0.7074 0.5445 0.0000  8 Hg 3.29-3.52, 1 Ho 3.56, 2 Nd 3.58
Nd 0.8681 0.3569 0.0000  8 Hg 3.26-3.57, 1 Ho 3.53, 3 Nd 3.57-3.58
Ho 0.0549 0.2471 0.0000  6 Hg 3.11-3.14, 1 Nd 3.29
Ho 0.2471 0.0549 0.0000  6 Hg 3.11-3.14, 1 Nd 3.29
Ho 0.7529 0.9451 0.0000  6 Hg 3.11-3.14, 1 Nd 3.29
Ho 0.9451 0.7529 0.0000  6 Hg 3.11-3.14, 1 Nd 3.29
Hg 0.0839 0.4384 0.5000  2 Ho 3.14, 6 Nd 3.26-3.38, 1 Hg 3.43
Hg 0.1370 0.8630 0.5000  4 Ho 3.14
Hg 0.2261 0.2261 0.5000  4 Ho 3.11
Hg 0.3357 0.6643 0.5000  8 Nd 3.31, 2 Hg 3.58
Hg 0.4384 0.0839 0.5000  2 Ho 3.14, 6 Nd 3.26-3.38, 1 Hg 3.43
Hg 0.5000 0.5000 0.5000  8 Nd 3.29, 2 Hg 3.58
Hg 0.5616 0.9161 0.5000  2 Ho 3.14, 6 Nd 3.26-3.38, 1 Hg 3.43
Hg 0.6643 0.3357 0.5000  8 Nd 3.31, 2 Hg 3.58
Hg 0.7739 0.7739 0.5000  4 Ho 3.11
Hg 0.8630 0.1370 0.5000  4 Ho 3.14
Hg 0.9161 0.5616 0.5000  2 Ho 3.14, 6 Nd 3.26-3.38, 1 Hg 3.43

Calculated values
E_form (eV per atom): -0.383
Crystal system: orthorhombic
DOS at the Fermi energy (states/eV/f.u.): 23.2
Uncorrected energy (eV/atom): -3.072
Spin magnetization (μB/f.u.): 3.27
Symmetry: Cmmm (65)
Volume (A^3/atom): 27.8

---

[8]
Nd5Ho2Hg4 after structural relaxation. Source: Alexandria, functional GGA-PBE.

Lattice parameters (Å, degrees): 6.6103 6.6103 14.3330 101.47 101.47 31.91
With the nearest neighbours (Å) after each atom.
Fractional coordinates of all 11 atoms:
Nd 0.0000 0.0000 0.0000  4 Nd 3.39-3.63, 4 Hg 3.42
Nd 0.0365 0.0365 0.7722  4 Hg 3.20-3.25, 2 Nd 3.23-3.39, 3 Ho 3.36-3.51
Nd 0.1216 0.1216 0.4359  3 Hg 3.22-3.36, 1 Nd 3.23
Nd 0.8784 0.8784 0.5641  3 Hg 3.22-3.36, 1 Nd 3.23
Nd 0.9635 0.9635 0.2278  4 Hg 3.20-3.25, 2 Nd 3.23-3.39, 3 Ho 3.36-3.51
Ho 0.3026 0.3026 0.7802  4 Hg 3.25-3.30, 3 Nd 3.36-3.51, 2 Ho 3.63
Ho 0.6974 0.6974 0.2198  4 Hg 3.25-3.30, 3 Nd 3.36-3.51, 2 Ho 3.63
Hg 0.3056 0.3056 0.0763  2 Hg 2.97, 2 Nd 3.20, 2 Ho 3.25
Hg 0.3639 0.3639 0.3765  5 Nd 3.22-3.36, 2 Ho 3.30
Hg 0.6361 0.6361 0.6235  5 Nd 3.22-3.36, 2 Ho 3.30
Hg 0.6944 0.6944 0.9237  2 Hg 2.97, 2 Nd 3.20, 2 Ho 3.25

Calculated values
E_form (eV per atom): -0.226
Crystal system: monoclinic
DOS at the Fermi energy (states/eV/f.u.): 13.7
Uncorrected energy (eV/atom): -3.335
Spin magnetization (μB/f.u.): 0.00
Symmetry: C2/m (12)
Volume (A^3/atom): 29.4

---

[9]
Nd2Ho4Hg after structural relaxation. Source: Alexandria, functional GGA-PBE.

Lattice parameters (Å, degrees): 16.9597 3.6126 8.0932 90.00 117.16 90.00
With the nearest neighbours (Å) after each atom.
Fractional coordinates of all 14 atoms:
Nd 0.2144 0.0000 0.1337  1 Hg 3.29, 4 Nd 3.43-3.61, 6 Ho 3.47-3.58
Nd 0.2856 0.5000 0.8663  1 Hg 3.29, 4 Nd 3.43-3.61, 6 Ho 3.47-3.58
Nd 0.7144 0.5000 0.1337  1 Hg 3.29, 4 Nd 3.43-3.61, 6 Ho 3.47-3.58
Nd 0.7856 0.0000 0.8663  1 Hg 3.29, 4 Nd 3.43-3.61, 6 Ho 3.47-3.58
Ho 0.0573 0.5000 0.7385  2 Hg 3.25, 7 Ho 3.44-3.61, 3 Nd 3.52-3.58
Ho 0.1405 0.0000 0.4691  1 Hg 3.44, 3 Nd 3.47-3.53, 6 Ho 3.49-3.61
Ho 0.3595 0.5000 0.5309  1 Hg 3.44, 3 Nd 3.47-3.53, 6 Ho 3.49-3.61
Ho 0.4427 0.0000 0.2615  2 Hg 3.25, 7 Ho 3.44-3.61, 3 Nd 3.52-3.58
Ho 0.5573 0.0000 0.7385  2 Hg 3.25, 7 Ho 3.44-3.61, 3 Nd 3.52-3.58
Ho 0.6405 0.5000 0.4691  1 Hg 3.44, 3 Nd 3.47-3.53, 6 Ho 3.49-3.61
Ho 0.8595 0.0000 0.5309  1 Hg 3.44, 3 Nd 3.47-3.53, 6 Ho 3.49-3.61
Ho 0.9427 0.5000 0.2615  2 Hg 3.25, 7 Ho 3.44-3.61, 3 Nd 3.52-3.58
Hg 0.0000 0.0000 0.0000  6 Ho 3.25-3.44, 2 Nd 3.29, 2 Hg 3.61
Hg 0.5000 0.5000 0.0000  6 Ho 3.25-3.44, 2 Nd 3.29, 2 Hg 3.61

Calculated values
E_form (eV per atom): -0.048
Crystal system: monoclinic
DOS at the Fermi energy (states/eV/f.u.): 9.8
Uncorrected energy (eV/atom): -4.069
Spin magnetization (μB/f.u.): 0.00
Symmetry: C2/m (12)
Volume (A^3/atom): 31.5

---

[10]
NdHo7Hg4 after structural relaxation. Source: Alexandria, functional GGA-PBE.

Lattice parameters (Å, degrees): 7.8345 7.8345 9.7065 119.82 119.82 42.55
With the nearest neighbours (Å) after each atom.
Fractional coordinates of all 12 atoms:
Nd 0.0000 0.0000 0.0000  2 Ho 2.84
Ho 0.0667 0.0667 0.4062  3 Hg 3.07-3.19, 1 Ho 3.30
Ho 0.2074 0.2074 0.8831  4 Hg 3.21-3.58, 5 Ho 3.43-3.56
Ho 0.2695 0.2695 0.3181  4 Hg 2.94-3.12
Ho 0.5000 0.5000 0.0000  2 Nd 2.84, 4 Hg 2.95-3.08
Ho 0.7305 0.7305 0.6819  4 Hg 2.94-3.12
Ho 0.7926 0.7926 0.1169  4 Hg 3.21-3.58, 5 Ho 3.43-3.56
Ho 0.9333 0.9333 0.5938  3 Hg 3.07-3.19, 1 Ho 3.30
Hg 0.3105 0.3105 0.6623  6 Ho 2.95-3.21, 1 Hg 3.16
Hg 0.4539 0.4539 0.2746  4 Ho 2.94-3.19, 1 Hg 3.16
Hg 0.5461 0.5461 0.7254  4 Ho 2.94-3.19, 1 Hg 3.16
Hg 0.6895 0.6895 0.3377  6 Ho 2.95-3.21, 1 Hg 3.16

Calculated values
E_form (eV per atom): -0.102
Crystal system: monoclinic
DOS at the Fermi energy (states/eV/f.u.): 12.4
Uncorrected energy (eV/atom): -3.271
Spin magnetization (μB/f.u.): 0.00
Symmetry: C2/m (12)
Volume (A^3/atom): 28.4

---

[11]
NdHo5Hg4 after structural relaxation. Source: Alexandria, functional GGA-PBE.

Lattice parameters (Å, degrees): 3.6808 3.6808 19.9829 90.00 90.00 90.00
With the nearest neighbours (Å) after each atom.
Fractional coordinates of all 10 atoms:
Nd 0.0000 0.0000 0.0000  8 Ho 3.61, 4 Nd 3.68
Ho 0.5000 0.5000 0.1253  4 Hg 3.19
Ho 0.5000 0.5000 0.3132  8 Hg 3.19-3.23
Ho 0.5000 0.5000 0.5000  8 Hg 3.22
Ho 0.5000 0.5000 0.6868  8 Hg 3.19-3.23
Ho 0.5000 0.5000 0.8747  4 Hg 3.19
Hg 0.0000 0.0000 0.2173  8 Ho 3.19-3.23
Hg 0.0000 0.0000 0.4051  8 Ho 3.19-3.22
Hg 0.0000 0.0000 0.5949  8 Ho 3.19-3.22
Hg 0.0000 0.0000 0.7827  8 Ho 3.19-3.23

Calculated values
E_form (eV per atom): -0.380
Crystal system: tetragonal
DOS at the Fermi energy (states/eV/f.u.): 10.2
Uncorrected energy (eV/atom): -3.266
Spin magnetization (μB/f.u.): 0.00
Symmetry: P4/mmm (123)
Volume (A^3/atom): 27.1

---

[12]
NdHo7Hg2 after structural relaxation. Source: Alexandria, functional GGA-PBE.

Lattice parameters (Å, degrees): 8.7720 8.7720 5.3778 90.00 90.00 117.64
With the nearest neighbours (Å) after each atom.
Fractional coordinates of all 10 atoms:
Nd 0.0000 0.0000 0.0000  10 Ho 3.63-3.66
Ho 0.0599 0.3056 0.5000  2 Hg 3.08-3.20, 2 Ho 3.32-3.42
Ho 0.2416 0.7584 0.0000  2 Hg 2.85
Ho 0.3056 0.0599 0.5000  2 Hg 3.08-3.20, 2 Ho 3.32-3.42
Ho 0.5000 0.5000 0.5000  2 Hg 2.93
Ho 0.6944 0.9401 0.5000  2 Hg 3.08-3.20, 2 Ho 3.32-3.42
Ho 0.7584 0.2416 0.0000  2 Hg 2.85
Ho 0.9401 0.6944 0.5000  2 Hg 3.08-3.20, 2 Ho 3.32-3.42
Hg 0.3050 0.6950 0.5000  5 Ho 2.85-3.08
Hg 0.6950 0.3050 0.5000  5 Ho 2.85-3.08

Calculated values
E_form (eV per atom): 0.282
Crystal system: orthorhombic
DOS at the Fermi energy (states/eV/f.u.): 20.0
Uncorrected energy (eV/atom): -3.459
Spin magnetization (μB/f.u.): 2.43
Symmetry: Cmmm (65)
Volume (A^3/atom): 36.7